[1]
The following is a PBE calculation of a relaxed structure of Li2CeIn, from Alexandria via LeMat-Bulk.

Computed properties:
energy: -3.148 eV/atom
crystal system: tetragonal
energy of formation from the pure elements: -0.02 eV/atom
DOS(E_F): 6.50 states/eV/cell
space-group type: P4/mmm

Lattice parameters (Å, degrees): 3.2048 3.2048 8.3656 90.00 90.00 90.00
Last column: nearest neighbours and their distance in Å.
Fractional positions:
Li  0.0000  0.0000  0.7926  4 In 2.85
Li  0.0000  0.0000  0.2074  4 In 2.85
In  0.5000  0.5000  0.0000  8 Li 2.85
Ce  0.5000  0.5000  0.5000  4 Ce 3.20, 8 Li 3.34

[2]
The following is a PBE calculation of a relaxed structure of LiCe4In5, from Alexandria via LeMat-Bulk.

Computed properties:
energy: -4.285 eV/atom
crystal system: tetragonal
energy of formation from the pure elements: -0.35 eV/atom
DOS(E_F): 23.44 states/eV/cell
space-group type: P4/mmm

Lattice parameters (Å, degrees): 3.4005 3.4005 22.2236 90.00 90.00 90.00
Last column: nearest neighbours and their distance in Å.
Fractional positions:
Ce  0.0000  0.0000  0.8196  8 In 3.36-3.37, 4 Ce 3.40
Ce  0.0000  0.0000  0.1804  8 In 3.36-3.37, 4 Ce 3.40
Ce  0.0000  0.0000  0.6065  8 In 3.37-3.38, 4 Ce 3.40
Ce  0.0000  0.0000  0.3935  8 In 3.37-3.38, 4 Ce 3.40
In  0.5000  0.5000  0.7132  8 Ce 3.37-3.38, 4 In 3.40
In  0.5000  0.5000  0.9252  4 Li 2.92
In  0.5000  0.5000  0.0748  4 Li 2.92
In  0.5000  0.5000  0.5000  8 Ce 3.37, 4 In 3.40
In  0.5000  0.5000  0.2868  8 Ce 3.37-3.38, 4 In 3.40
Li  0.0000  0.0000  0.0000  8 In 2.92

[3]
The following is a PBE calculation of a relaxed structure of Li2Ce3In6, from Alexandria via LeMat-Bulk.

Computed properties:
energy: -3.728 eV/atom
crystal system: tetragonal
energy of formation from the pure elements: -0.27 eV/atom
DOS(E_F): 21.44 states/eV/cell
space-group type: I4/mmm

Lattice parameters (Å, degrees): 4.6485 4.6485 13.5440 99.88 99.88 90.00
Last column: nearest neighbours and their distance in Å.
Fractional positions:
In  0.6795  0.6795  0.3591  4 In 3.15, 5 Ce 3.27-3.32, 1 Li 3.51
In  0.3205  0.3205  0.6409  4 In 3.15, 5 Ce 3.27-3.32, 1 Li 3.51
In  0.9016  0.4016  0.8032  2 Li 2.70
In  0.5984  0.0984  0.1968  2 Li 2.70
In  0.0984  0.5984  0.1968  2 Li 2.70
In  0.4016  0.9016  0.8032  2 Li 2.70
Li  0.4539  0.4539  0.9078  1 Li 2.42, 4 In 2.70
Li  0.5461  0.5461  0.0922  1 Li 2.42, 4 In 2.70
Ce  0.1959  0.1959  0.3918  9 In 3.27-3.46
Ce  0.8041  0.8041  0.6082  9 In 3.27-3.46
Ce  0.0000  0.0000  0.0000  8 In 3.48, 8 Li 3.50

[4]
The following is a PBE calculation of a relaxed structure of LiCe2In9, from Alexandria via LeMat-Bulk.

Computed properties:
energy: -3.508 eV/atom
crystal system: tetragonal
energy of formation from the pure elements: -0.31 eV/atom
DOS(E_F): 14.94 states/eV/cell
space-group type: P4/mmm

Lattice parameters (Å, degrees): 4.6826 4.6826 13.8237 90.00 90.00 90.00
Last column: nearest neighbours and their distance in Å.
Fractional positions:
In  0.0000  0.5000  0.8457  8 In 3.17-3.41, 2 Li 3.17, 2 Ce 3.35
In  0.0000  0.5000  0.1543  8 In 3.17-3.41, 2 Li 3.17, 2 Ce 3.35
In  0.5000  0.0000  0.8457  2 Li 3.17, 8 In 3.17-3.41, 2 Ce 3.35
In  0.5000  0.5000  0.0000  8 In 3.17, 4 Li 3.31
In  0.0000  0.5000  0.5000  8 In 3.28-3.31, 4 Ce 3.34
In  0.5000  0.0000  0.5000  8 In 3.28-3.31, 4 Ce 3.34
In  0.5000  0.0000  0.1543  2 Li 3.17, 8 In 3.17-3.41, 2 Ce 3.35
In  0.5000  0.5000  0.6663  8 In 3.28-3.41, 4 Ce 3.31
In  0.5000  0.5000  0.3337  8 In 3.28-3.41, 4 Ce 3.31
Li  0.0000  0.0000  0.0000  12 In 3.17-3.31
Ce  0.0000  0.0000  0.3274  12 In 3.31-3.35
Ce  0.0000  0.0000  0.6726  12 In 3.31-3.35

Q: Which value of energy does entry 3 give?
A: -3.728 eV/atom

Q: What is the DOS(E_F) in the fourth record?
A: 14.94 states/eV/cell

Q: What is the formula in the third record?
A: Li2Ce3In6

Q: What is the DOS(E_F) in the fourth record?
A: 14.94 states/eV/cell